The following is a GGA+U calculation of a geometry-optimized KCoMoF6 structure, from the Alexandria database.

Cell: 7.705 7.482 7.667 Å, 119.20 120.17 90.00°
Site moments in Bohr magnetons follow the coordinates.
Fractional positions:
F  0.830  0.080  0.661  0.03
F  0.177  0.902  0.732  0.04
F  0.446  0.671  0.268  0.04
F  0.823  0.671  0.268  0.04
Mo  0.000  0.000  0.500  2.80
Co  0.500  0.500  0.000  2.80
F  0.556  0.306  0.113  0.07
F  0.554  0.902  0.732  0.04
F  0.444  0.694  0.887  0.07
K  0.801  0.551  0.602  0.00
F  0.170  0.920  0.339  0.03
F  0.554  0.329  0.732  0.04
F  0.446  0.098  0.268  0.04
Mo  0.500  0.000  0.500  2.80
Co  0.500  0.000  0.000  2.80
F  0.823  0.098  0.268  0.04
K  0.199  0.449  0.398  0.00
F  0.177  0.329  0.732  0.04

Calculated values
total energy: -5.216 eV/atom